A plane-wave DFT calculation with PBE was carried out for an optimized crystal structure of PrEuYHg.

Lattice parameters (Å, degrees): 5.553 5.553 5.553 60.00 60.00 60.00
Each line ends with the local moment (μB).
Positions (direct):
Eu: 0.500 0.500 0.500  -6.92
Pr: 0.250 0.250 0.250  -0.06
Y: 0.750 0.750 0.750  -0.08
Hg: 0.000 0.000 0.000  0.01

Computed properties:
SG = F-43m
theoretical density = 7.99 g/cm3
DFT total energy = -22.09 eV/cell
E_form = -68 meV per atom

A plane-wave DFT calculation with PBE was carried out for an optimized crystal structure of EuHgPt.

Lattice parameters (Å, degrees): 3.764 4.756 4.756 120.00 90.00 90.00
Each line ends with the local moment (μB).
Positions (direct):
Eu: 0.667 0.667 0.333  6.81
Hg: 0.166 0.000 0.000  0.02
Pt: 0.167 0.333 0.667  -0.04

Computed properties:
SG = P-6m2
theoretical density = 12.33 g/cm3
relative energy among the computed polymorphs = 0.010 eV/atom
DFT total energy = -18.51 eV/cell
E_form = -631 meV per atom

A plane-wave DFT calculation with PBE was carried out for an optimized crystal structure of EuHgPt.

Lattice parameters (Å, degrees): 3.741 3.741 5.641 109.37 109.37 90.00
Each line ends with the local moment (μB).
Positions (direct):
Eu: 0.940 0.940 0.880  6.76
Hg: 0.631 0.631 0.262  0.01
Pt: 0.279 0.279 0.557  -0.06

Computed properties:
SG = I4mm
theoretical density = 13.04 g/cm3
relative energy among the computed polymorphs = 0.084 eV/atom
DFT total energy = -18.29 eV/cell
E_form = -557 meV per atom

A plane-wave DFT calculation with PBE was carried out for an optimized crystal structure of EuHg3Pt.

Lattice parameters (Å, degrees): 5.275 5.275 5.275 90.00 90.00 90.00
Each line ends with the local moment (μB).
Positions (direct):
Eu: 0.500 0.500 0.500  7.00
Hg: 0.000 0.500 0.000  0.00
Hg: 0.000 0.000 0.500  0.00
Hg: 0.500 0.000 0.000  0.00
Pt: 0.000 0.000 0.000  0.02

Computed properties:
SG = Pm-3m
theoretical density = 10.73 g/cm3
DFT total energy = -18.34 eV/cell
E_form = -224 meV per atom

A plane-wave DFT calculation with PBE was carried out for an optimized crystal structure of EuHgPt.

Lattice parameters (Å, degrees): 4.842 4.842 4.842 60.00 60.00 60.00
Each line ends with the local moment (μB).
Positions (direct):
Eu: 0.500 0.500 0.500  6.78
Hg: 0.000 0.000 0.000  0.01
Pt: 0.250 0.250 0.250  -0.04

Computed properties:
SG = F-43m
theoretical density = 11.33 g/cm3
relative energy among the computed polymorphs = 0.000 eV/atom
DFT total energy = -18.54 eV/cell
E_form = -641 meV per atom

A plane-wave DFT calculation with PBE was carried out for an optimized crystal structure of EuSnHgPt.

Lattice parameters (Å, degrees): 5.082 5.082 5.082 60.00 60.00 60.00
Each line ends with the local moment (μB).
Positions (direct):
Eu: 0.250 0.250 0.250  6.76
Hg: 0.500 0.500 0.500  0.01
Pt: 0.000 0.000 0.000  0.01
Sn: 0.750 0.750 0.750  0.02

Computed properties:
SG = F-43m
theoretical density = 11.92 g/cm3
DFT total energy = -22.65 eV/cell
E_form = -509 meV per atom

A plane-wave DFT calculation with PBE was carried out for an optimized crystal structure of TbEuHgPt.

Lattice parameters (Å, degrees): 5.175 5.175 5.175 60.00 60.00 60.00
Each line ends with the local moment (μB).
Positions (direct):
Eu: 0.000 0.000 0.000  6.77
Tb: 0.500 0.500 0.500  0.03
Hg: 0.250 0.250 0.250  0.01
Pt: 0.750 0.750 0.750  -0.02

Computed properties:
SG = F-43m
theoretical density = 11.97 g/cm3
DFT total energy = -24.15 eV/cell
E_form = -724 meV per atom

A plane-wave DFT calculation with PBE was carried out for an optimized crystal structure of EuYHgPt.

Lattice parameters (Å, degrees): 5.171 5.171 5.171 60.00 60.00 60.00
Each line ends with the local moment (μB).
Positions (direct):
Eu: 0.000 0.000 0.000  6.77
Y: 0.500 0.500 0.500  0.02
Hg: 0.250 0.250 0.250  0.01
Pt: 0.750 0.750 0.750  -0.02

Computed properties:
SG = F-43m
theoretical density = 10.81 g/cm3
DFT total energy = -25.97 eV/cell
E_form = -723 meV per atom